# Mg2CdAg | Alexandria via LeMat-Bulk | GGA-PBEsol | relaxed
# - Spin magnetization: 0.0 μB per cell
# - Calculated total energy: -0.1597 Ry per atom
# - Volume: 19.0 Å³ per atom
# - E_form: -188 meV per atom
data_Mg2CdAg
_symmetry_space_group_name_H-M 'P 4/m m m'
_symmetry_Int_Tables_number 123
_symmetry_space_group_name_Hall '-P 4 2'
_cell_length_a 3.346
_cell_length_b 3.346
_cell_length_c 6.792
_cell_angle_alpha 90.00
_cell_angle_beta 90.00
_cell_angle_gamma 90.00
loop_
_atom_site_label
_atom_site_fract_x
_atom_site_fract_y
_atom_site_fract_z
Mg1 0.000 0.000 0.233
Cd1 0.500 0.500 0.500
Ag1 0.500 0.500 0.000